# HgMoOs2

A crystal of HgMoOs2 relaxed with PBEsol (SCAN, the Alexandria database).

Computed properties:
total magnetic moment	0.00	μB per cell
calculated total energy	-60.915	eV/atom
space-group type	No. 10

Cell lengths 2.723, 4.600, 5.034 Å; angles 90.00, 90.67, 90.00 degrees
Atoms (fractional coordinates):
1 Hg 0.000 0.000 0.000
2 Mo 0.500 0.000 0.500
3 Os 0.221 0.500 0.732
4 Os 0.779 0.500 0.268